Record 1
Here is a relaxed AcSm2Pa crystal from the Alexandria database. Energies are from PBE-GGA.

The structure belongs to space group R-3m (No. 166, hexagonal axes); the cell edges are 3.4821, 3.4821 and 38.1148 Å and the angles 90.00°, 90.00° and 120.00°. The inequivalent atoms are Ac at (0.0000, 0.0000, 0.0000), Sm at (0.0000, 0.0000, 0.4149) and Pa at (0.0000, 0.0000, 0.5000).

The calculation puts the formation enthalpy at 0 K at 168 kJ/mol of formula units. The calculation puts the total magnetic moment at 0.0000 μB per atom.


Record 2
Here is a relaxed Cu2TeCl crystal from the Alexandria database. Energies are from PBE-GGA.

The structure belongs to space group Immm (No. 71); the cell edges are 3.3640, 7.4541 and 7.8095 Å and the angles 90.00°, 90.00° and 90.00°. The inequivalent atoms are Cu at (0.0000, 0.2359, 0.0000), Te at (0.0000, 0.0000, 0.5000) and Cl at (0.0000, 0.5000, 0.5000).

The calculation puts the total magnetic moment at 0.0000 μB per atom. Its offset from the most stable computed form is 244 meV/atom. The uncorrected formation energy is 0.1 eV per formula unit.


Record 3
Here is a relaxed La2PmDyY5 crystal from the Alexandria database. Energies are from PBE-GGA.

The structure belongs to space group I4/mcm (No. 140); the cell edges are 8.7230, 8.7230 and 15.8632 Å and the angles 90.00°, 90.00° and 90.00°. The inequivalent atoms are La at (0.1172, 0.3828, 0.0000), Pm at (0.0000, 0.0000, 0.2500), Dy at (0.0000, 0.5000, 0.2500), Y at (0.0000, 0.0000, 0.0000) and Y at (0.2141, 0.2859, 0.3597).

The calculation puts the formation enthalpy at 0 K at 211 kJ/mol of formula units. The calculation puts the total magnetic moment at 0.0000 μB per atom.


Record 4
Here is a relaxed Nd3TmSc crystal from the Alexandria database. Energies are from PBE-GGA.

The structure belongs to space group Pbcm (No. 57); the cell edges are 3.5254, 17.4484 and 10.6944 Å and the angles 90.00°, 90.00° and 90.00°. The inequivalent atoms are Nd at (0.2469, 0.2500, 0.0000), Nd at (0.2524, 0.5768, 0.0603), Tm at (0.2447, 0.1042, 0.7500) and Sc at (0.2543, 0.7284, 0.2500).

The calculation puts the formation enthalpy at 0 K at 77 kJ/mol of formula units. The calculation puts the total magnetic moment at 0.0000 μB per atom. Its offset from the most stable computed form is 81 meV/atom.